(1)
Compound: CaNi2Mo
Source: Alexandria
Functional: GGA-PBE
Structure: relaxed

```
data_CaNi2Mo
_chemical_formula_sum 'Ca1 Ni2 Mo1'
_cell_length_a 3.117
_cell_length_b 3.117
_cell_length_c 6.813
_cell_angle_alpha 90.00
_cell_angle_beta 90.00
_cell_angle_gamma 90.00
_space_group_name_H-M_alt 'P 4 m m'
_space_group_IT_number 99
_space_group_name_Hall 'P 4 -2'
loop_
_atom_site_label
_atom_site_type_symbol
_atom_site_fract_x
_atom_site_fract_y
_atom_site_fract_z
_atom_site_occupancy
Ca1 Ca 0.000 0.000 0.000 1
Ni1 Ni 0.000 0.000 0.527 1
Ni2 Ni 0.500 0.500 0.708 1
Mo1 Mo 0.500 0.500 0.348 1
```

Calculated values
The calculation puts the total magnetization at 0.00 μB per cell.

(2)
Compound: Ca2NiMo
Source: Alexandria
Functional: GGA-PBE
Structure: relaxed

```
data_Ca2NiMo
_chemical_formula_sum 'Ca8 Ni4 Mo4'
_cell_length_a 7.114
_cell_length_b 7.114
_cell_length_c 7.114
_cell_angle_alpha 90.00
_cell_angle_beta 90.00
_cell_angle_gamma 90.00
_space_group_name_H-M_alt 'F m -3 m'
_space_group_IT_number 225
_space_group_name_Hall '-F 4 2 3'
loop_
_atom_site_label
_atom_site_type_symbol
_atom_site_fract_x
_atom_site_fract_y
_atom_site_fract_z
_atom_site_occupancy
Ca1 Ca 0.250 0.250 0.250 1
Ni1 Ni 0.000 0.000 0.000 1
Mo1 Mo 0.000 0.000 0.500 1
```

Calculated values
The calculation puts the total magnetization at 14.41 μB per cell.

Number 1: E above lowest polymorph 213 meV per atom, DOS at the Fermi energy 3.21 states/eV/f.u., energy of formation 0.330 eV/atom. Number 2: E above lowest polymorph 401 meV per atom, DOS at the Fermi energy 3.03 states/eV/f.u., energy of formation 0.738 eV/atom.